Ag4AsSe5: relaxed, PBE.

Its symmetry is I4, No. 79. For the uncorrected formation energy, the calculation gives -0.04 eV/atom. For the density of states at the Fermi level, the calculation gives 5.84 states/eV/f.u.

a = 5.5006 Å, b = 6.8206 Å, c = 6.8206 Å
α = 80.64°, β = 66.22°, γ = 66.22°
Positions (direct):
As 0.0116 0.0000 0.0000
Se 0.4665 0.0000 0.0000
Se 0.0878 0.6216 0.2090
Se 0.2968 0.7910 0.6216
Se 0.7094 0.2090 0.3784
Se 0.9185 0.3784 0.7910
Ag 0.7997 0.8091 0.6013
Ag 0.4011 0.3987 0.8091
Ag 0.2101 0.1909 0.3987
Ag 0.6088 0.6013 0.1909



Ag3As2Se4: relaxed, PBE.

The calculation puts the energy above the most stable polymorph in this dataset at 0.6 kJ/mol of atoms. Its symmetry is C2/c, No. 15. For the uncorrected formation energy, the calculation gives -0.01 eV/atom. For the density of states at the Fermi level, the calculation gives 2.26 states/eV/f.u.

a = 6.3416 Å, b = 8.7646 Å, c = 8.7646 Å
α = 101.40°, β = 96.15°, γ = 96.15°
Positions (direct):
Ag 0.2500 0.7428 0.2572
Ag 0.7500 0.2572 0.7428
Ag 0.3411 0.0421 0.6289
Ag 0.6589 0.9579 0.3711
Ag 0.1589 0.3711 0.9579
Ag 0.8411 0.6289 0.0421
Se 0.0132 0.9851 0.2456
Se 0.5132 0.2456 0.9851
Se 0.0311 0.4480 0.2421
Se 0.4868 0.7544 0.0149
Se 0.5311 0.2421 0.4480
Se 0.4689 0.7579 0.5520
Se 0.9868 0.0149 0.7544
Se 0.9689 0.5520 0.7579
As 0.6448 0.4426 0.2140
As 0.8552 0.7860 0.5574
As 0.3552 0.5574 0.7860
As 0.1448 0.2140 0.4426